First-principles (GGA-PBEsol) data for an optimized crystal structure of Co2S3O12, as listed in Alexandria.

Summary:
- relative energy among the computed polymorphs (eV/f.u.) = 0.05
- symmetry = Pbcn, No. 60
- D(E_F) (states/eV/f.u.) = 8.528
- raw total energy (eV per atom) = -6.51
- M_tot (μB per cell) = 32.052

Unit cell a=8.4385 b=8.5057 c=11.7828 alpha=90.00 beta=90.00 gamma=90.00
Fractional positions:
S: 0.3949 0.8955 0.1472
O: 0.5646 0.6497 0.5301
O: 0.5126 0.8227 0.2240
S: 0.2500 0.4587 0.0000
O: 0.4874 0.6773 0.7240
O: 0.0988 0.5682 0.6610
O: 0.4354 0.8503 0.0301
O: 0.4012 0.5682 0.3390
O: 0.0126 0.6773 0.2760
S: 0.8949 0.1045 0.1472
O: 0.2674 0.3442 0.6762
O: 0.6410 0.4442 0.0680
S: 0.1051 0.8955 0.8528
O: 0.9012 0.9318 0.1610
O: 0.2326 0.8442 0.1762
O: 0.7326 0.1558 0.1762
O: 0.8590 0.4442 0.9320
O: 0.1633 0.8562 0.5798
S: 0.1051 0.3955 0.6472
Co: 0.5350 0.7494 0.3816
O: 0.3590 0.0558 0.5680
S: 0.8949 0.6045 0.3528
O: 0.1410 0.5558 0.0680
O: 0.7674 0.1558 0.8238
Co: 0.4650 0.7506 0.8816
S: 0.6051 0.6045 0.6472
O: 0.3367 0.8562 0.4202
Co: 0.4650 0.2506 0.6184
Co: 0.9650 0.7494 0.6184
O: 0.0988 0.0682 0.8390
O: 0.7326 0.6558 0.3238
O: 0.6633 0.6438 0.9202
O: 0.6633 0.1438 0.5798
O: 0.3590 0.5558 0.9320
O: 0.0646 0.8503 0.9699
O: 0.6410 0.9442 0.4320
O: 0.8367 0.6438 0.0798
S: 0.7500 0.0413 0.5000
O: 0.8590 0.9442 0.5680
O: 0.9874 0.3227 0.7240
O: 0.9354 0.6497 0.4699
Co: 0.0350 0.7506 0.1184
O: 0.9012 0.4318 0.3390
O: 0.8367 0.1438 0.4202
S: 0.7500 0.5413 0.0000
Co: 0.5350 0.2494 0.1184
O: 0.2674 0.8442 0.8238
O: 0.4874 0.1773 0.7760
O: 0.5988 0.4318 0.6610
S: 0.2500 0.9587 0.5000
O: 0.1633 0.3562 0.9202
O: 0.0646 0.3503 0.5301
O: 0.4012 0.0682 0.1610
O: 0.3367 0.3562 0.0798
O: 0.0126 0.1773 0.2240
O: 0.5126 0.3227 0.2760
O: 0.4354 0.3503 0.4699
O: 0.5646 0.1497 0.9699
O: 0.9874 0.8227 0.7760
S: 0.3949 0.3955 0.3528
O: 0.7674 0.6558 0.6762
S: 0.6051 0.1045 0.8528
O: 0.9354 0.1497 0.0301
O: 0.5988 0.9318 0.8390
O: 0.1410 0.0558 0.4320
O: 0.2326 0.3442 0.3238
Co: 0.0350 0.2506 0.3816
Co: 0.9650 0.2494 0.8816

***

First-principles (GGA-PBEsol) data for an optimized crystal structure of Sm2CoTe2S2O14, as listed in Alexandria.

Summary:
- symmetry = P-1, No. 2
- D(E_F) (states/eV/f.u.) = 5.222
- raw total energy (eV per atom) = -6.95
- M_tot (μB per cell) = 3.000

Unit cell a=5.2648 b=7.8765 c=8.0684 alpha=62.74 beta=73.10 gamma=85.24
Fractional positions:
S: 0.7518 0.2486 0.7419
O: 0.7275 0.8115 0.7470
S: 0.2482 0.7514 0.2581
O: 0.1354 0.7680 0.4404
O: 0.2725 0.1885 0.2530
O: 0.1275 0.5849 0.2634
Te: 0.4993 0.7350 0.6458
O: 0.2562 0.5624 0.8844
O: 0.8183 0.0784 0.9083
O: 0.8646 0.2320 0.5596
O: 0.4618 0.2634 0.7752
O: 0.8725 0.4151 0.7366
O: 0.7438 0.4376 0.1156
O: 0.5382 0.7366 0.2248
Co: 0.0000 0.0000 0.5000
O: 0.2612 0.9330 0.6559
Sm: 0.0678 0.2519 0.0163
O: 0.7388 0.0670 0.3441
Sm: 0.9322 0.7481 0.9837
Te: 0.5007 0.2650 0.3542
O: 0.1817 0.9216 0.0917

***

First-principles (GGA-PBEsol) data for an optimized crystal structure of Tb2CoTe2S2O14, as listed in Alexandria.

Summary:
- symmetry = P-1, No. 2
- D(E_F) (states/eV/f.u.) = 4.991
- raw total energy (eV per atom) = -6.96
- M_tot (μB per cell) = 3.001

Unit cell a=5.2230 b=7.7816 c=7.9891 alpha=62.99 beta=73.08 gamma=85.21
Fractional positions:
O: 0.1260 0.5847 0.2589
O: 0.8193 0.0763 0.9111
O: 0.1807 0.9237 0.0889
Te: 0.5007 0.2684 0.3507
S: 0.7501 0.2482 0.7454
Te: 0.4993 0.7316 0.6493
O: 0.8610 0.2332 0.5601
O: 0.2715 0.1896 0.2488
Tb: 0.0670 0.2522 0.0175
O: 0.7399 0.0678 0.3402
O: 0.1390 0.7668 0.4399
O: 0.4579 0.2645 0.7800
Co: 0.0000 0.0000 0.5000
O: 0.7285 0.8104 0.7512
Tb: 0.9330 0.7478 0.9825
O: 0.2512 0.5602 0.8885
O: 0.7488 0.4398 0.1115
S: 0.2499 0.7518 0.2546
O: 0.5421 0.7355 0.2200
O: 0.2601 0.9322 0.6598
O: 0.8740 0.4153 0.7411

***

First-principles (GGA-PBEsol) data for an optimized crystal structure of CoSbO3, as listed in Alexandria.

Summary:
- symmetry = Pm-3m, No. 221
- D(E_F) (states/eV/f.u.) = 4.614
- raw total energy (eV per atom) = -5.99
- M_tot (μB per cell) = 2.379

Unit cell a=3.9575 b=3.9575 c=3.9575 alpha=90.00 beta=90.00 gamma=90.00
Fractional positions:
O: 0.5000 0.0000 0.0000
O: 0.0000 0.0000 0.5000
Co: 0.5000 0.5000 0.5000
O: 0.0000 0.5000 0.0000
Sb: 0.0000 0.0000 0.0000

***

First-principles (GGA-PBEsol) data for an optimized crystal structure of Co2SbO, as listed in Alexandria.

Summary:
- symmetry = Fm-3m, No. 225
- D(E_F) (states/eV/f.u.) = 3.429
- raw total energy (eV per atom) = -6.08
- M_tot (μB per cell) = 1.053

Unit cell a=4.0764 b=4.0764 c=4.0764 alpha=60.00 beta=60.00 gamma=60.00
Fractional positions:
Sb: 0.5000 0.5000 0.5000
Co: 0.2500 0.2500 0.2500
O: 0.0000 0.0000 0.0000
Co: 0.7500 0.7500 0.7500

***

First-principles (GGA-PBEsol) data for an optimized crystal structure of CoSbO4, as listed in Alexandria.

Summary:
- symmetry = Imma, No. 74
- raw total energy (eV per atom) = -6.72
- M_tot (μB per cell) = 0.046

Unit cell a=5.6255 b=5.8886 c=5.8886 alpha=64.28 beta=61.47 gamma=61.47
Fractional positions:
Sb: 0.0000 0.5000 0.5000
O: 0.2561 0.2331 0.7331
O: 0.2223 0.7669 0.2669
O: 0.7584 0.1937 0.2895
O: 0.7439 0.7669 0.2669
O: 0.7777 0.2331 0.7331
O: 0.2416 0.8063 0.7105
Co: 0.0000 0.0000 0.5000
O: 0.2416 0.2105 0.3063
Co: 0.5000 0.0000 0.5000
O: 0.7584 0.7895 0.6937
Sb: 0.0000 0.0000 0.0000

***

First-principles (GGA-PBEsol) data for an optimized crystal structure of CoSbTe2O, as listed in Alexandria.

Summary:
- symmetry = P4/mmm, No. 123
- D(E_F) (states/eV/f.u.) = 5.220
- raw total energy (eV per atom) = -4.23
- M_tot (μB per cell) = 1.986

Unit cell a=4.8806 b=4.8806 c=4.7768 alpha=90.00 beta=90.00 gamma=90.00
Fractional positions:
Co: 0.0000 0.0000 0.0000
O: 0.5000 0.5000 0.5000
Te: 0.0000 0.5000 0.0000
Te: 0.5000 0.0000 0.0000
Sb: 0.0000 0.0000 0.5000

***

First-principles (GGA-PBEsol) data for an optimized crystal structure of ScCo3O, as listed in Alexandria.

Summary:
- symmetry = Pm-3m, No. 221
- D(E_F) (states/eV/f.u.) = 6.738
- raw total energy (eV per atom) = -5.04
- M_tot (μB per cell) = 4.098

Unit cell a=4.3226 b=4.3226 c=4.3226 alpha=90.00 beta=90.00 gamma=90.00
Fractional positions:
Co: 0.0000 0.0000 0.5000
O: 0.5000 0.5000 0.5000
Sc: 0.0000 0.0000 0.0000
Co: 0.5000 0.0000 0.0000
Co: 0.0000 0.5000 0.0000

***

First-principles (GGA-PBEsol) data for an optimized crystal structure of Co3SeO, as listed in Alexandria.

Summary:
- symmetry = Pm-3m, No. 221
- D(E_F) (states/eV/f.u.) = 5.418
- raw total energy (eV per atom) = -6.44
- M_tot (μB per cell) = 4.086

Unit cell a=3.8314 b=3.8314 c=3.8314 alpha=90.00 beta=90.00 gamma=90.00
Fractional positions:
Se: 0.5000 0.5000 0.5000
Co: 0.0000 0.0000 0.5000
Co: 0.5000 0.0000 0.0000
Co: 0.0000 0.5000 0.0000
O: 0.0000 0.0000 0.0000

***

First-principles (GGA-PBEsol) data for an optimized crystal structure of Co2SeO2, as listed in Alexandria.

Summary:
- symmetry = P4/mmm, No. 123
- D(E_F) (states/eV/f.u.) = 6.845
- raw total energy (eV per atom) = -5.72
- M_tot (μB per cell) = 2.453

Unit cell a=5.0386 b=3.4790 c=3.4790 alpha=90.00 beta=90.00 gamma=90.00
Fractional positions:
Co: 0.0000 0.0000 0.5000
O: 0.0000 0.0000 0.0000
Co: 0.0000 0.5000 0.0000
Se: 0.5000 0.5000 0.5000
O: 0.5000 0.0000 0.0000

***

First-principles (GGA-PBEsol) data for an optimized crystal structure of CoSeO2, as listed in Alexandria.

Summary:
- symmetry = R-3m, No. 166
- D(E_F) (states/eV/f.u.) = 1.594
- raw total energy (eV per atom) = -6.18
- M_tot (μB per cell) = 0.000

Unit cell a=2.9134 b=2.9134 c=6.2222 alpha=76.46 beta=76.46 gamma=60.00
Fractional positions:
O: 0.8853 0.8853 0.3441
Co: 0.5000 0.5000 0.5000
Se: 0.0000 0.0000 0.0000
O: 0.1147 0.1147 0.6559

***

First-principles (GGA-PBEsol) data for an optimized crystal structure of CoSe2O, as listed in Alexandria.

Summary:
- symmetry = R-3m, No. 166
- D(E_F) (states/eV/f.u.) = 1.880
- raw total energy (eV per atom) = -5.41
- M_tot (μB per cell) = 0.000

Unit cell a=3.5804 b=3.5804 c=6.3205 alpha=73.55 beta=73.55 gamma=60.00
Fractional positions:
Se: 0.8953 0.8953 0.3140
Se: 0.1047 0.1047 0.6860
O: 0.0000 0.0000 0.0000
Co: 0.5000 0.5000 0.5000

***

First-principles (GGA-PBEsol) data for an optimized crystal structure of CoSeO4, as listed in Alexandria.

Summary:
- symmetry = Cmcm, No. 63
- D(E_F) (states/eV/f.u.) = 2.086
- raw total energy (eV per atom) = -6.04
- M_tot (μB per cell) = 6.002

Unit cell a=4.8809 b=4.8809 c=6.4309 alpha=90.00 beta=90.00 gamma=111.87
Fractional positions:
Co: 0.0000 0.0000 0.5000
O: 0.7802 0.7284 0.2500
O: 0.2198 0.2716 0.7500
O: 0.7621 0.2379 0.4691
O: 0.2379 0.7621 0.9691
Co: 0.0000 0.0000 0.0000
Se: 0.6500 0.3500 0.2500
O: 0.2716 0.2198 0.2500
O: 0.7621 0.2379 0.0309
O: 0.7284 0.7802 0.7500
Se: 0.3500 0.6500 0.7500
O: 0.2379 0.7621 0.5309

***

First-principles (GGA-PBEsol) data for an optimized crystal structure of CoSeO4, as listed in Alexandria.

Summary:
- symmetry = Pnma, No. 62
- D(E_F) (states/eV/f.u.) = 1.882
- raw total energy (eV per atom) = -6.04
- M_tot (μB per cell) = 12.018

Unit cell a=4.8559 b=6.5620 c=9.0461 alpha=90.00 beta=90.00 gamma=90.00
Fractional positions:
O: 0.3030 0.7500 0.6151
O: 0.1792 0.4654 0.3778
O: 0.1970 0.7500 0.1151
O: 0.8208 0.9654 0.6222
O: 0.8030 0.2500 0.8849
Co: 0.0000 0.0000 0.0000
Se: 0.9729 0.7500 0.6805
O: 0.8208 0.5346 0.6222
Co: 0.5000 0.5000 0.5000
O: 0.3208 0.4654 0.8778
O: 0.4227 0.2500 0.6310
O: 0.6792 0.9654 0.1222
O: 0.9227 0.7500 0.8690
Co: 0.0000 0.5000 0.0000
O: 0.0773 0.2500 0.1310
O: 0.1792 0.0346 0.3778
O: 0.6970 0.2500 0.3849
Se: 0.4729 0.2500 0.8195
O: 0.3208 0.0346 0.8778
Se: 0.0271 0.2500 0.3195
Se: 0.5271 0.7500 0.1805
O: 0.6792 0.5346 0.1222
O: 0.5773 0.7500 0.3690
Co: 0.5000 0.0000 0.5000

***

First-principles (GGA-PBEsol) data for an optimized crystal structure of CoSiO2, as listed in Alexandria.

Summary:
- relative energy among the computed polymorphs (eV/f.u.) = 3.06
- symmetry = Fm-3m, No. 225
- D(E_F) (states/eV/f.u.) = 3.072
- raw total energy (eV per atom) = -6.24
- M_tot (μB per cell) = 1.968

Unit cell a=3.6977 b=3.6977 c=3.6977 alpha=60.00 beta=60.00 gamma=60.00
Fractional positions:
O: 0.7500 0.7500 0.7500
O: 0.2500 0.2500 0.2500
Co: 0.5000 0.5000 0.5000
Si: 0.0000 0.0000 0.0000

***

First-principles (GGA-PBEsol) data for an optimized crystal structure of CoSiO2, as listed in Alexandria.

Summary:
- relative energy among the computed polymorphs (eV/f.u.) = 0.00
- symmetry = R-3m, No. 166
- D(E_F) (states/eV/f.u.) = 2.627
- raw total energy (eV per atom) = -7.00
- M_tot (μB per cell) = 3.022

Unit cell a=2.7998 b=2.7998 c=6.0619 alpha=76.65 beta=76.65 gamma=60.00
Fractional positions:
Si: 0.0000 0.0000 0.0000
O: 0.0975 0.0975 0.7075
O: 0.9025 0.9025 0.2925
Co: 0.5000 0.5000 0.5000

***

First-principles (GGA-PBEsol) data for an optimized crystal structure of Sr2CoSi2O7, as listed in Alexandria.

Summary:
- symmetry = P-42_1m, No. 113
- raw total energy (eV per atom) = -7.59
- M_tot (μB per cell) = 6.000

Unit cell a=5.1535 b=7.9913 c=7.9913 alpha=90.00 beta=90.00 gamma=90.00
Fractional positions:
O: 0.7385 0.1391 0.3609
O: 0.2000 0.0802 0.1889
Co: 0.0000 0.0000 0.0000
O: 0.7385 0.8609 0.6391
Si: 0.9489 0.3608 0.8608
O: 0.1628 0.0000 0.5000
Sr: 0.4932 0.3344 0.1656
Si: 0.0511 0.8608 0.6392
O: 0.8372 0.5000 0.0000
Sr: 0.5068 0.8344 0.3344
O: 0.2615 0.3609 0.8609
O: 0.8000 0.4198 0.6889
Sr: 0.4932 0.6656 0.8344
O: 0.2000 0.6889 0.5802
O: 0.8000 0.8111 0.0802
O: 0.2000 0.9198 0.8111
Sr: 0.5068 0.1656 0.6656
O: 0.8000 0.5802 0.3111
O: 0.8000 0.1889 0.9198
O: 0.2615 0.6391 0.1391
Si: 0.0511 0.1392 0.3608
Si: 0.9489 0.6392 0.1392
Co: 0.0000 0.5000 0.5000
O: 0.2000 0.3111 0.4198

***

First-principles (GGA-PBEsol) data for an optimized crystal structure of ZnCoSi2O6, as listed in Alexandria.

Summary:
- symmetry = C2/c, No. 15
- D(E_F) (states/eV/f.u.) = 4.213
- raw total energy (eV per atom) = -7.27
- M_tot (μB per cell) = 6.000

Unit cell a=5.1937 b=6.6284 c=6.6284 alpha=85.57 beta=76.02 gamma=76.02
Fractional positions:
O: 0.4975 0.3940 0.3219
O: 0.6463 0.7876 0.9623
O: 0.5025 0.6060 0.6781
Si: 0.2566 0.7838 0.6077
O: 0.3537 0.2124 0.0377
O: 0.3741 0.8645 0.3742
O: 0.6259 0.1355 0.6258
O: 0.0025 0.6781 0.6060
O: 0.8537 0.0377 0.2124
O: 0.1463 0.9623 0.7876
O: 0.1259 0.6258 0.1355
Zn: 0.2500 0.2442 0.7558
Si: 0.2434 0.3923 0.2162
Co: 0.2500 0.9127 0.0873
O: 0.8741 0.3742 0.8645
Co: 0.7500 0.0873 0.9127
Si: 0.7434 0.2162 0.3923
O: 0.9975 0.3219 0.3940
Si: 0.7566 0.6077 0.7838
Zn: 0.7500 0.7558 0.2442

***

First-principles (GGA-PBEsol) data for an optimized crystal structure of SrSmCoO4, as listed in Alexandria.

Summary:
- relative energy among the computed polymorphs (eV/f.u.) = 0.00
- symmetry = I4mm, No. 107
- D(E_F) (states/eV/f.u.) = 2.442
- raw total energy (eV per atom) = -7.55
- M_tot (μB per cell) = 0.131

Unit cell a=3.7196 b=3.7196 c=6.5807 alpha=106.42 beta=106.42 gamma=90.00
Fractional positions:
Sr: 0.3576 0.3576 0.7151
O: 0.8305 0.8305 0.6610
O: 0.1589 0.1589 0.3177
Sm: 0.6376 0.6376 0.2753
Co: 0.9918 0.9918 0.9835
O: 0.0118 0.5118 0.0237
O: 0.5118 0.0118 0.0237

***

Number 1: formation energy without anion corrections -1.12 eV per atom. Number 2: formation energy without anion corrections -1.85 eV per atom. Number 3: formation energy without anion corrections -1.86 eV per atom. Number 4: formation energy without anion corrections -0.38 eV per atom. Number 5: formation energy without anion corrections 0.24 eV per atom. Number 6: formation energy without anion corrections -1.17 eV per atom. Number 7: formation energy without anion corrections 0.69 eV per atom. Number 8: formation energy without anion corrections 1.98 eV per atom. Number 9: formation energy without anion corrections 0.02 eV per atom. Number 10: formation energy without anion corrections 0.24 eV per atom. Number 11: formation energy without anion corrections -0.66 eV per atom. Number 12: formation energy without anion corrections -0.24 eV per atom. Number 13: formation energy without anion corrections -0.61 eV per atom. Number 14: formation energy without anion corrections -0.61 eV per atom. Number 15: formation energy without anion corrections -0.24 eV per atom. Number 16: formation energy without anion corrections -1.01 eV per atom. Number 17: formation energy without anion corrections -2.62 eV per atom. Number 18: formation energy without anion corrections -2.04 eV per atom. Number 19: formation energy without anion corrections -2.45 eV per atom.